1.
# K2MgTc2N4

A relaxed K2MgTc2N4 crystal (GGA-PBE, Alexandria).

```
data_K2MgTc2N4
_cell_length_a 13.852
_cell_length_b 3.298
_cell_length_c 6.678
_cell_angle_alpha 90.00
_cell_angle_beta 110.73
_cell_angle_gamma 90.00
_space_group_name_H-M_alt 'C 1 2/m 1'
_space_group_IT_number 12
loop_
_space_group_symop_operation_xyz
'x,y,z'
'-x,-y,-z'
'-x,y,-z'
'x,-y,z'
'x+1/2,y+1/2,z'
'-x+1/2,-y+1/2,-z'
'-x+1/2,y+1/2,-z'
'x+1/2,-y+1/2,z'
loop_
_atom_site_label
_atom_site_fract_x
_atom_site_fract_y
_atom_site_fract_z
K1 0.127 0.000 0.000
Mg1 0.000 0.000 0.500
Tc1 0.176 0.500 0.476
N1 0.037 0.500 0.320
N2 0.219 0.000 0.677
```

Output
DOS at the Fermi energy in states/eV per atom: 0.215
Theoretical density in g cm⁻³: 4.13
Formation energy from raw total energies in meV per atom: -181
VASP energy in eV/cell: -118.90

***

2.
# KMg2TcN4

A relaxed KMg2TcN4 crystal (GGA-PBE, Alexandria).

```
data_KMg2TcN4
_cell_length_a 7.553
_cell_length_b 5.673
_cell_length_c 5.597
_cell_angle_alpha 90.00
_cell_angle_beta 90.00
_cell_angle_gamma 90.00
_space_group_name_H-M_alt 'P m n 21'
_space_group_IT_number 31
loop_
_space_group_symop_operation_xyz
'x,y,z'
'-x+1/2,-y,z+1/2'
'-x,y,z'
'x+1/2,-y,z+1/2'
loop_
_atom_site_label
_atom_site_fract_x
_atom_site_fract_y
_atom_site_fract_z
K1 0.000 0.181 0.000
Mg1 0.245 0.326 0.508
Tc1 0.000 0.797 0.514
N1 0.000 0.122 0.482
N2 0.000 0.726 0.834
N3 0.191 0.664 0.373
```

Output
DOS at the Fermi energy in states/eV per atom: 0.000
Theoretical density in g cm⁻³: 3.35
Formation energy from raw total energies in meV per atom: -407
VASP energy in eV/cell: -102.43

***

3.
# KMgTeN2

A relaxed KMgTeN2 crystal (GGA-PBE, Alexandria).

```
data_KMgTeN2
_cell_length_a 4.804
_cell_length_b 4.804
_cell_length_c 6.894
_cell_angle_alpha 90.00
_cell_angle_beta 90.00
_cell_angle_gamma 90.00
_space_group_name_H-M_alt 'P 4/m m m'
_space_group_IT_number 123
_space_group_name_Hall '-P 4 2'
loop_
_atom_site_label
_atom_site_fract_x
_atom_site_fract_y
_atom_site_fract_z
K1 0.000 0.000 0.000
Mg1 0.500 0.500 0.500
Te1 0.000 0.000 0.500
N1 0.000 0.500 0.000
```

Output
DOS at the Fermi energy in states/eV per atom: 0.409
Theoretical density in g cm⁻³: 2.29
Polymorph energy (0 for the lowest one) in eV/atom: 0.787
Formation energy from raw total energies in meV per atom: 1733
VASP energy in eV/cell: -13.82

***

4.
# KMgTe2N

A relaxed KMgTe2N crystal (GGA-PBE, Alexandria).

```
data_KMgTe2N
_cell_length_a 6.185
_cell_length_b 6.185
_cell_length_c 3.899
_cell_angle_alpha 90.00
_cell_angle_beta 90.00
_cell_angle_gamma 90.00
_space_group_name_H-M_alt 'P 4/m m m'
_space_group_IT_number 123
_space_group_name_Hall '-P 4 2'
loop_
_atom_site_label
_atom_site_fract_x
_atom_site_fract_y
_atom_site_fract_z
K1 0.000 0.000 0.000
Mg1 0.500 0.500 0.500
Te1 0.000 0.500 0.500
N1 0.500 0.500 0.000
```

Output
DOS at the Fermi energy in states/eV per atom: 0.944
Theoretical density in g cm⁻³: 3.70
Polymorph energy (0 for the lowest one) in eV/atom: 0.000
Formation energy from raw total energies in meV per atom: 193
VASP energy in eV/cell: -16.33

***

5.
# KMgTe2N

A relaxed KMgTe2N crystal (GGA-PBE, Alexandria).

```
data_KMgTe2N
_cell_length_a 5.946
_cell_length_b 5.946
_cell_length_c 4.419
_cell_angle_alpha 90.00
_cell_angle_beta 90.00
_cell_angle_gamma 90.00
_space_group_name_H-M_alt 'P 4/m m m'
_space_group_IT_number 123
_space_group_name_Hall '-P 4 2'
loop_
_atom_site_label
_atom_site_fract_x
_atom_site_fract_y
_atom_site_fract_z
K1 0.000 0.000 0.000
Mg1 0.500 0.500 0.500
Te1 0.000 0.500 0.000
N1 0.000 0.000 0.500
```

Output
DOS at the Fermi energy in states/eV per atom: 1.005
Theoretical density in g cm⁻³: 3.54
Polymorph energy (0 for the lowest one) in eV/atom: 1.074
Formation energy from raw total energies in meV per atom: 1268
VASP energy in eV/cell: -10.96

***

6.
# KMgTeN2

A relaxed KMgTeN2 crystal (GGA-PBE, Alexandria).

```
data_KMgTeN2
_cell_length_a 4.609
_cell_length_b 4.609
_cell_length_c 5.743
_cell_angle_alpha 90.00
_cell_angle_beta 90.00
_cell_angle_gamma 90.00
_space_group_name_H-M_alt 'P 4/m m m'
_space_group_IT_number 123
_space_group_name_Hall '-P 4 2'
loop_
_atom_site_label
_atom_site_fract_x
_atom_site_fract_y
_atom_site_fract_z
K1 0.000 0.000 0.000
Mg1 0.500 0.500 0.500
Te1 0.500 0.500 0.000
N1 0.000 0.500 0.500
```

Output
DOS at the Fermi energy in states/eV per atom: 0.350
Theoretical density in g cm⁻³: 2.98
Polymorph energy (0 for the lowest one) in eV/atom: 0.000
Formation energy from raw total energies in meV per atom: 946
VASP energy in eV/cell: -17.76

***

7.
# K4MgU3N8

A relaxed K4MgU3N8 crystal (GGA-PBE, Alexandria).

```
data_K4MgU3N8
_cell_length_a 6.9547
_cell_length_b 6.9547
_cell_length_c 19.0754
_cell_angle_alpha 90.00
_cell_angle_beta 90.00
_cell_angle_gamma 120.00
_space_group_name_H-M_alt 'R -3 m'
_space_group_IT_number 166
_space_group_name_Hall '-R 3 2"'
loop_
_atom_site_label
_atom_site_fract_x
_atom_site_fract_y
_atom_site_fract_z
K1 0.0000 0.0000 0.0000
K2 0.0000 0.5000 0.0000
Mg1 0.0000 0.0000 0.5000
U1 0.0000 0.5000 0.5000
N1 0.0000 0.0000 0.2216
N2 0.0270 0.5135 0.7799
```

Output
Theoretical density in g cm⁻³: 6.28
Formation energy from raw total energies in meV per atom: -889
VASP energy in eV/cell: -362.01

***

8.
# KNaMg6

A relaxed KNaMg6 crystal (GGA-PBE, Alexandria).

```
data_KNaMg6
_cell_length_a 5.345
_cell_length_b 6.898
_cell_length_c 12.107
_cell_angle_alpha 90.00
_cell_angle_beta 90.00
_cell_angle_gamma 90.00
_space_group_name_H-M_alt 'A m m 2'
_space_group_IT_number 38
loop_
_space_group_symop_operation_xyz
'x,y,z'
'-x,-y,z'
'-x,y,z'
'x,-y,z'
'x,y+1/2,z+1/2'
'-x,-y+1/2,z+1/2'
'-x,y+1/2,z+1/2'
'x,-y+1/2,z+1/2'
loop_
_atom_site_label
_atom_site_fract_x
_atom_site_fract_y
_atom_site_fract_z
K1 0.000 0.000 0.000
Na1 0.500 0.000 0.843
Mg1 0.000 0.000 0.523
Mg2 0.000 0.233 0.255
Mg3 0.500 0.000 0.358
Mg4 0.500 0.234 0.610
```

Output
DOS at the Fermi energy in states/eV per atom: 0.583
Theoretical density in g cm⁻³: 1.55
Polymorph energy (0 for the lowest one) in eV/atom: 0.003
Formation enthalpy at 0 K in eV/atom: 0.176
VASP energy in eV/cell: -21.14

***

9.
# KNaMg2

A relaxed KNaMg2 crystal (GGA-PBE, Alexandria).

```
data_KNaMg2
_cell_length_a 8.294
_cell_length_b 8.294
_cell_length_c 8.294
_cell_angle_alpha 90.00
_cell_angle_beta 90.00
_cell_angle_gamma 90.00
_space_group_name_H-M_alt 'F m -3 m'
_space_group_IT_number 225
_space_group_name_Hall '-F 4 2 3'
loop_
_atom_site_label
_atom_site_fract_x
_atom_site_fract_y
_atom_site_fract_z
K1 0.000 0.000 0.000
Na1 0.000 0.000 0.500
Mg1 0.250 0.250 0.250
```

Output
DOS at the Fermi energy in states/eV per atom: 0.651
Theoretical density in g cm⁻³: 1.29
Polymorph energy (0 for the lowest one) in eV/atom: 0.000
Formation enthalpy at 0 K in eV/atom: 0.238
VASP energy in eV/cell: -18.61

***

10.
# KNa2Mg2

A relaxed KNa2Mg2 crystal (GGA-PBE, Alexandria).

```
data_KNa2Mg2
_cell_length_a 9.961
_cell_length_b 9.961
_cell_length_c 3.547
_cell_angle_alpha 90.00
_cell_angle_beta 90.00
_cell_angle_gamma 90.00
_space_group_name_H-M_alt 'P 4/m b m'
_space_group_IT_number 127
_space_group_name_Hall '-P 4 2ab'
loop_
_atom_site_label
_atom_site_fract_x
_atom_site_fract_y
_atom_site_fract_z
K1 0.000 0.000 0.000
Na1 0.179 0.321 0.500
Mg1 0.111 0.611 0.000
```

Output
DOS at the Fermi energy in states/eV per atom: 0.428
Theoretical density in g cm⁻³: 1.26
Polymorph energy (0 for the lowest one) in eV/atom: 0.000
Formation enthalpy at 0 K in eV/atom: 0.128
VASP energy in eV/cell: -12.57

***

11.
# KNa2Mg2

A relaxed KNa2Mg2 crystal (GGA-PBE, Alexandria).

```
data_KNa2Mg2
_cell_length_a 4.292
_cell_length_b 4.292
_cell_length_c 21.846
_cell_angle_alpha 90.00
_cell_angle_beta 90.00
_cell_angle_gamma 90.00
_space_group_name_H-M_alt 'I 4/m m m'
_space_group_IT_number 139
_space_group_name_Hall '-I 4 2'
loop_
_atom_site_label
_atom_site_fract_x
_atom_site_fract_y
_atom_site_fract_z
K1 0.000 0.000 0.000
Na1 0.000 0.000 0.372
Mg1 0.000 0.500 0.250
```

Output
DOS at the Fermi energy in states/eV per atom: 0.465
Theoretical density in g cm⁻³: 1.10
Polymorph energy (0 for the lowest one) in eV/atom: 0.051
Formation enthalpy at 0 K in eV/atom: 0.179
VASP energy in eV/cell: -12.06

***

12.
# KNa2Mg2

A relaxed KNa2Mg2 crystal (GGA-PBE, Alexandria).

```
data_KNa2Mg2
_cell_length_a 5.070
_cell_length_b 5.070
_cell_length_c 15.180
_cell_angle_alpha 90.00
_cell_angle_beta 90.00
_cell_angle_gamma 90.00
_space_group_name_H-M_alt 'I 4/m m m'
_space_group_IT_number 139
_space_group_name_Hall '-I 4 2'
loop_
_atom_site_label
_atom_site_fract_x
_atom_site_fract_y
_atom_site_fract_z
K1 0.000 0.000 0.000
Na1 0.000 0.500 0.250
Mg1 0.000 0.000 0.401
```

Output
DOS at the Fermi energy in states/eV per atom: 0.462
Theoretical density in g cm⁻³: 1.14
Polymorph energy (0 for the lowest one) in eV/atom: 0.068
Formation enthalpy at 0 K in eV/atom: 0.196
VASP energy in eV/cell: -11.89

***

> Which value of VASP energy does entry 11 give?

-12.06 eV/cell

***

> The lowest theoretical density belongs to which entry?

number 11

***

> Which of these has the highest theoretical density?

K4MgU3N8